1.
# NaLi2Sn

A geometry-optimized NaLi2Sn structure (PBE, the Alexandria database).

CIF file:
```
data_NaLi2Sn
_symmetry_space_group_name_H-M 'I -4 2 d'
_symmetry_Int_Tables_number 122
_symmetry_space_group_name_Hall 'I -4 2bw'
_cell_length_a 4.5066
_cell_length_b 4.5066
_cell_length_c 19.8917
_cell_angle_alpha 90.00
_cell_angle_beta 90.00
_cell_angle_gamma 90.00
loop_
_atom_site_label
_atom_site_fract_x
_atom_site_fract_y
_atom_site_fract_z
Na1 0.0000 0.0000 0.0000
Li1 0.1844 0.2500 0.6250
Sn1 0.0000 0.0000 0.5000
```

Calculated values
volume: 404 Å³/cell
energy of formation: -5.0 kJ per mole of atoms
Fermi-level density of states: 5.0 states/eV/cell

---

2.
# Ta2SnO7

A geometry-optimized Ta2SnO7 structure (PBE, the Alexandria database).

CIF file:
```
data_Ta2SnO7
_symmetry_space_group_name_H-M 'C 1 2/c 1'
_symmetry_Int_Tables_number 15
_cell_length_a 16.7396
_cell_length_b 4.9540
_cell_length_c 5.2147
_cell_angle_alpha 90.00
_cell_angle_beta 96.57
_cell_angle_gamma 90.00
loop_
_symmetry_equiv_pos_as_xyz
'x,y,z'
'-x,-y,-z'
'-x,y,-z+1/2'
'x,-y,z+1/2'
'x+1/2,y+1/2,z'
'-x+1/2,-y+1/2,-z'
'-x+1/2,y+1/2,-z+1/2'
'x+1/2,-y+1/2,z+1/2'
loop_
_atom_site_label
_atom_site_fract_x
_atom_site_fract_y
_atom_site_fract_z
Ta1 0.1629 0.2280 0.3037
Sn1 0.0000 0.2268 0.7500
O1 0.0000 0.3810 0.2500
O2 0.0810 0.0120 0.5256
O3 0.1424 0.4551 0.0101
O4 0.2241 0.0899 0.6626
```

Calculated values
volume: 430 Å³/cell
energy relative to the elements, uncorrected: -2.294 eV/atom

---

3.
# CsTbCrI6

A geometry-optimized CsTbCrI6 structure (PBE, the Alexandria database).

CIF file:
```
data_CsTbCrI6
_symmetry_space_group_name_H-M 'P 3 1 2'
_symmetry_Int_Tables_number 149
_cell_length_a 7.7043
_cell_length_b 7.7043
_cell_length_c 8.7609
_cell_angle_alpha 90.00
_cell_angle_beta 90.00
_cell_angle_gamma 120.00
loop_
_symmetry_equiv_pos_as_xyz
'x,y,z'
'-y,x-y,z'
'-x+y,-x,z'
'-y,-x,-z'
'-x+y,y,-z'
'x,x-y,-z'
loop_
_atom_site_label
_atom_site_fract_x
_atom_site_fract_y
_atom_site_fract_z
Cs1 0.0000 0.0000 0.0000
Tb1 0.3333 0.6667 0.5000
Cr1 0.6667 0.3333 0.5000
I1 0.3785 0.0153 0.6950
```

Calculated values
volume: 450 Å³/cell
Fermi-level density of states: 6.5 states/eV/cell
energy relative to the elements, uncorrected: -1.044 eV/atom

---

4.
# BaAgO2

A geometry-optimized BaAgO2 structure (PBE, the Alexandria database).

CIF file:
```
data_BaAgO2
_symmetry_space_group_name_H-M 'F m -3 m'
_symmetry_Int_Tables_number 225
_symmetry_space_group_name_Hall '-F 4 2 3'
_cell_length_a 6.4239
_cell_length_b 6.4239
_cell_length_c 6.4239
_cell_angle_alpha 90.00
_cell_angle_beta 90.00
_cell_angle_gamma 90.00
loop_
_atom_site_label
_atom_site_fract_x
_atom_site_fract_y
_atom_site_fract_z
Ba1 0.0000 0.0000 0.0000
Ag1 0.0000 0.0000 0.5000
O1 0.2500 0.2500 0.2500
```

Calculated values
volume: 265 Å³/cell
Fermi-level density of states: 15.8 states/eV/cell
energy relative to the elements, uncorrected: -0.937 eV/atom

---

5.
# CdIrSe2

A geometry-optimized CdIrSe2 structure (PBE, the Alexandria database).

CIF file:
```
data_CdIrSe2
_symmetry_space_group_name_H-M 'I m m 2'
_symmetry_Int_Tables_number 44
_cell_length_a 2.9922
_cell_length_b 4.4925
_cell_length_c 12.2127
_cell_angle_alpha 90.00
_cell_angle_beta 90.00
_cell_angle_gamma 90.00
loop_
_symmetry_equiv_pos_as_xyz
'x,y,z'
'-x,-y,z'
'-x,y,z'
'x,-y,z'
'x+1/2,y+1/2,z+1/2'
'-x+1/2,-y+1/2,z+1/2'
'-x+1/2,y+1/2,z+1/2'
'x+1/2,-y+1/2,z+1/2'
loop_
_atom_site_label
_atom_site_fract_x
_atom_site_fract_y
_atom_site_fract_z
Cd1 0.0000 0.0000 0.0000
Ir1 0.0000 0.5000 0.7080
Se1 0.0000 0.0000 0.3734
Se2 0.0000 0.5000 0.1715
```

Calculated values
volume: 164 Å³/cell
Fermi-level density of states: 2.7 states/eV/cell
energy relative to the elements, uncorrected: 0.116 eV/atom

---

6.
# Dy4Ag2Hg3

A geometry-optimized Dy4Ag2Hg3 structure (PBE, the Alexandria database).

CIF file:
```
data_Dy4Ag2Hg3
_symmetry_space_group_name_H-M 'C 1 2/m 1'
_symmetry_Int_Tables_number 12
_cell_length_a 8.8371
_cell_length_b 5.1062
_cell_length_c 9.7637
_cell_angle_alpha 90.00
_cell_angle_beta 90.07
_cell_angle_gamma 90.00
loop_
_symmetry_equiv_pos_as_xyz
'x,y,z'
'-x,-y,-z'
'-x,y,-z'
'x,-y,z'
'x+1/2,y+1/2,z'
'-x+1/2,-y+1/2,-z'
'-x+1/2,y+1/2,-z'
'x+1/2,-y+1/2,z'
loop_
_atom_site_label
_atom_site_fract_x
_atom_site_fract_y
_atom_site_fract_z
Dy1 0.9997 0.0000 0.1701
Dy2 0.1668 0.5000 0.6124
Ag1 0.1664 0.5000 0.2937
Hg1 0.0000 0.0000 0.5000
Hg2 0.1668 0.5000 0.9469
```

Calculated values
volume: 441 Å³/cell
energy of formation: -32.4 kJ per mole of atoms
Fermi-level density of states: 12.6 states/eV/cell

---

7.
# KScMn2

A geometry-optimized KScMn2 structure (PBE, the Alexandria database).

CIF file:
```
data_KScMn2
_symmetry_space_group_name_H-M 'C m m m'
_symmetry_Int_Tables_number 65
_symmetry_space_group_name_Hall '-C 2 2'
_cell_length_a 7.7004
_cell_length_b 7.7340
_cell_length_c 3.1152
_cell_angle_alpha 90.00
_cell_angle_beta 90.00
_cell_angle_gamma 90.00
loop_
_atom_site_label
_atom_site_fract_x
_atom_site_fract_y
_atom_site_fract_z
K1 0.0000 0.0000 0.0000
Sc1 0.0000 0.5000 0.0000
Mn1 0.2500 0.2500 0.5000
```

Calculated values
volume: 186 Å³/cell
energy of formation: 85.4 kJ per mole of atoms
Fermi-level density of states: 10.8 states/eV/cell
energy above the lowest structure with this stoichiometry: 1.773 eV/f.u.

---

8.
# SiMo2Rh

A geometry-optimized SiMo2Rh structure (PBE, the Alexandria database).

CIF file:
```
data_SiMo2Rh
_symmetry_space_group_name_H-M 'F -4 3 m'
_symmetry_Int_Tables_number 216
_symmetry_space_group_name_Hall 'F -4 2 3'
_cell_length_a 6.1546
_cell_length_b 6.1546
_cell_length_c 6.1546
_cell_angle_alpha 90.00
_cell_angle_beta 90.00
_cell_angle_gamma 90.00
loop_
_atom_site_label
_atom_site_fract_x
_atom_site_fract_y
_atom_site_fract_z
Si1 0.0000 0.0000 0.0000
Mo1 0.0000 0.0000 0.5000
Mo2 0.2500 0.2500 0.7500
Rh1 0.2500 0.2500 0.2500
```

Calculated values
volume: 233 Å³/cell
Fermi-level density of states: 16.6 states/eV/cell
energy relative to the elements, uncorrected: -0.124 eV/atom

---

9.
# Ca2Ag5Cl12

A geometry-optimized Ca2Ag5Cl12 structure (PBE, the Alexandria database).

CIF file:
```
data_Ca2Ag5Cl12
_symmetry_space_group_name_H-M 'C 1 2/m 1'
_symmetry_Int_Tables_number 12
_cell_length_a 14.1303
_cell_length_b 7.6182
_cell_length_c 9.8214
_cell_angle_alpha 90.00
_cell_angle_beta 101.31
_cell_angle_gamma 90.00
loop_
_symmetry_equiv_pos_as_xyz
'x,y,z'
'-x,-y,-z'
'-x,y,-z'
'x,-y,z'
'x+1/2,y+1/2,z'
'-x+1/2,-y+1/2,-z'
'-x+1/2,y+1/2,-z'
'x+1/2,-y+1/2,z'
loop_
_atom_site_label
_atom_site_fract_x
_atom_site_fract_y
_atom_site_fract_z
Ca1 0.0000 0.2492 0.0000
Ag1 0.0000 0.5000 0.5000
Ag2 0.2415 0.0000 0.5004
Ag3 0.2469 0.0000 0.9972
Cl1 0.0453 0.5000 0.8287
Cl2 0.0489 0.0000 0.8343
Cl3 0.1298 0.2646 0.4990
Cl4 0.1956 0.2508 0.1420
```

Calculated values
volume: 1037 Å³/cell
Fermi-level density of states: 18.0 states/eV/cell
energy relative to the elements, uncorrected: -0.982 eV/atom

---

10.
# Pm2Dy2Er15

A geometry-optimized Pm2Dy2Er15 structure (PBE, the Alexandria database).

CIF file:
```
data_Pm2Dy2Er15
_symmetry_space_group_name_H-M 'R -3 m'
_symmetry_Int_Tables_number 166
_symmetry_space_group_name_Hall '-R 3 2"'
_cell_length_a 11.1120
_cell_length_b 11.1120
_cell_length_c 17.4394
_cell_angle_alpha 90.00
_cell_angle_beta 90.00
_cell_angle_gamma 120.00
loop_
_atom_site_label
_atom_site_fract_x
_atom_site_fract_y
_atom_site_fract_z
Pm1 0.0000 0.0000 0.1153
Dy1 0.0000 0.0000 0.3280
Er1 0.0000 0.3030 0.0000
Er2 0.0000 0.5000 0.5000
Er3 0.0134 0.5067 0.1384
```

Calculated values
volume: 1865 Å³/cell
energy of formation: 28.4 kJ per mole of atoms
Fermi-level density of states: 96.8 states/eV/cell

---

Q: Among the records above, which one has the lowest volume?
A: CdIrSe2

---

Q: Which formula does entry 8 have?
A: SiMo2Rh

---

Q: Number 8 is which compound?
A: SiMo2Rh